No. 1
BaMgZn2Pt: relaxed, GGA-PBE.

Lattice parameters (Å, degrees): 4.456 4.495 11.619 90.00 90.00 90.00
Atoms (fractional coordinates):
Ba 0.000 0.000 0.000
Ba 0.500 0.500 0.500
Mg 0.000 0.500 0.759
Mg 0.500 0.000 0.259
Zn 0.000 0.000 0.613
Zn 0.000 0.500 0.259
Zn 0.500 0.000 0.759
Zn 0.500 0.500 0.113
Pt 0.000 0.000 0.387
Pt 0.500 0.500 0.887

DFT total energy: -14.35 eV/f.u.
Relative energy among the computed polymorphs: 0 kJ/mol of formula units
Total moment: 0.00 μB per formula unit
Energy relative to the elements: -0.45 eV/atom
DOS(E_F): 0.58 states/eV/atom

No. 2
KLaTl2Cl6: relaxed, GGA-PBE.

Lattice parameters (Å, degrees): 7.633 8.248 13.165 90.00 123.03 90.00
Atoms (fractional coordinates):
K 0.000 0.000 0.000
K 0.000 0.500 0.500
La 0.500 0.000 0.500
La 0.500 0.500 0.000
Tl 0.210 0.066 0.732
Tl 0.210 0.434 0.232
Tl 0.790 0.566 0.768
Tl 0.790 0.934 0.268
Cl 0.150 0.174 0.455
Cl 0.150 0.326 0.955
Cl 0.247 0.722 0.418
Cl 0.247 0.778 0.918
Cl 0.397 0.066 0.265
Cl 0.397 0.434 0.765
Cl 0.603 0.566 0.235
Cl 0.603 0.934 0.735
Cl 0.753 0.222 0.082
Cl 0.753 0.278 0.582
Cl 0.850 0.674 0.045
Cl 0.850 0.826 0.545

DFT total energy: -39.62 eV/f.u.
Total moment: 0.00 μB per formula unit
Formation energy (no corrections): -1.778 eV per atom
DOS(E_F): 0.00 states/eV/atom

No. 3
RbGaCl2: relaxed, GGA-PBE.

Lattice parameters (Å, degrees): 9.511 7.198 7.997 90.00 90.00 90.00
Atoms (fractional coordinates):
Rb 0.165 0.250 0.156
Rb 0.335 0.750 0.656
Rb 0.665 0.250 0.344
Rb 0.835 0.750 0.844
Ga 0.124 0.250 0.688
Ga 0.376 0.750 0.188
Ga 0.624 0.250 0.812
Ga 0.876 0.750 0.312
Cl 0.000 0.000 0.500
Cl 0.000 0.500 0.500
Cl 0.153 0.750 0.003
Cl 0.347 0.250 0.503
Cl 0.500 0.000 0.000
Cl 0.500 0.500 0.000
Cl 0.653 0.750 0.497
Cl 0.847 0.250 0.997

DFT total energy: -12.88 eV/f.u.
Relative energy among the computed polymorphs: 0 kJ/mol of formula units
Total moment: 0.00 μB per formula unit
Formation energy (no corrections): -1.297 eV per atom
DOS(E_F): 0.00 states/eV/atom

Q: Which value of DFT total energy does entry 1 give?
A: -14.35 eV/f.u.

Q: DFT total energy of number 2 (KLaTl2Cl6)?
A: -39.62 eV/f.u.

Q: What is the formula in the third record?
A: RbGaCl2